The following is a GGA-PBE calculation of a geometry-optimized NaMg2In9 structure, from the Alexandria database.

Results
M_tot (μB per formula unit): 0.000
Excess energy over the best structure of this formula in the dataset (meV per atom): 0
Mass density (Mg/m³): 6.0
Symmetry: P4/mmm

Cell lengths 4.6944, 4.6944, 13.8709 Å; angles 90.00, 90.00, 90.00 degrees
Closest atoms and distances in Å follow each position.
Element x y z (fractional)
Na  0.0000  0.0000  0.0000  12 In 3.32-3.33
Mg  0.0000  0.0000  0.3321  12 In 3.24-3.32
Mg  0.0000  0.0000  0.6679  12 In 3.24-3.32
In  0.0000  0.5000  0.1708  2 Mg 3.24, 8 In 3.26-3.33, 2 Na 3.33
In  0.0000  0.5000  0.5000  8 In 3.29-3.32, 4 Mg 3.31
In  0.0000  0.5000  0.8292  2 Mg 3.24, 8 In 3.26-3.33, 2 Na 3.33
In  0.5000  0.0000  0.1708  2 Mg 3.24, 8 In 3.26-3.33, 2 Na 3.33
In  0.5000  0.0000  0.5000  8 In 3.29-3.32, 4 Mg 3.31
In  0.5000  0.0000  0.8292  2 Mg 3.24, 8 In 3.26-3.33, 2 Na 3.33
In  0.5000  0.5000  0.0000  4 Na 3.32, 8 In 3.33
In  0.5000  0.5000  0.3343  8 In 3.26-3.29, 4 Mg 3.32
In  0.5000  0.5000  0.6657  8 In 3.26-3.29, 4 Mg 3.32